Density functional theory data (PBE with a Hubbard U) for a relaxed CoTc2O crystal.

- density of states at the Fermi level (states/eV per atom) = 1.196
- ρ (Mg/m³) = 7.49
- final energy (eV per atom) = -7.110
- space group = I-42d (122)

Cell: 4.889 4.889 6.100 Å, 66.38 66.38 90.00°
Last column: magnetic moment on the atom in μB.
Positions (direct):
Co1 0.000 0.000 0.000  1.74
Co2 0.750 0.250 0.500  1.75
Tc1 0.556 0.125 0.250  0.26
Tc2 0.194 0.625 0.250  0.28
Tc3 0.375 0.444 0.750  0.30
Tc4 0.875 0.806 0.750  0.22
O1 0.500 0.500 0.000  -0.03
O2 0.250 0.750 0.500  -0.03


Density functional theory data (PBE with a Hubbard U) for a relaxed Te2MoNF crystal.

- density of states at the Fermi level (states/eV per atom) = 0.419
- ρ (Mg/m³) = 6.01
- polymorph energy (0 for the lowest one) (meV per atom) = 682
- final energy (eV per atom) = -3.679
- space group = P4/mmm (123)

Cell: 4.767 4.767 4.674 Å, 90.00 90.00 90.00°
Last column: magnetic moment on the atom in μB.
Positions (direct):
N1 0.000 0.000 0.500  -1.59
Mo1 0.500 0.500 0.500  3.76
Te1 0.000 0.500 0.000  -0.21
Te2 0.500 0.000 0.000  -0.21
F1 0.000 0.000 0.000  -0.07